(1)
This record from Alexandria describes YMgSe2 at its PBEsol-relaxed geometry. The functional is SCAN.

Cell and atoms, written as extended XYZ:
```
4
Lattice="3.858 0.000 0.000 1.929 3.341 0.000 1.929 1.114 6.749" Properties=species:S:1:pos:R:3 pbc="T T T"
Y 3.858 2.227 3.375
Mg 0.000 0.000 0.000
Se 5.787 3.341 5.189
Se 1.929 1.114 1.560
```

Results
The space-group type is R-3m (166). The uncorrected energy is -0.730 hartree per atom. Its magnetization is 0.000 μB per atom.

(2)
This record from Alexandria describes Mg2ZnSe at its PBEsol-relaxed geometry. The functional is SCAN.

Cell and atoms, written as extended XYZ:
```
4
Lattice="3.776 0.000 0.000 0.000 3.776 0.000 0.000 0.000 5.787" Properties=species:S:1:pos:R:3 pbc="T T T"
Mg 0.000 0.000 5.366
Mg 1.888 1.888 1.883
Se 0.000 0.000 2.370
Zn 1.888 1.888 4.848
```

Results
The space-group type is P4mm (99). As for the energy above the lowest structure with this stoichiometry: 0.0000 eV/atom. Its magnetization is 0.000 μB per atom.

(3)
This record from Alexandria describes MgZnSe at its PBEsol-relaxed geometry. The functional is SCAN.

Cell and atoms, written as extended XYZ:
```
6
Lattice="3.722 -0.046 0.000 -1.822 3.245 0.000 0.000 0.000 10.169" Properties=species:S:1:pos:R:3 pbc="T T T"
Mg -0.898 2.697 7.719
Mg 2.798 0.503 2.635
Se 2.798 0.503 9.390
Se -0.899 2.697 4.306
Zn 0.949 1.600 5.771
Zn 0.950 1.599 0.686
```

Results
The space-group type is P6_3mc (186). As for the energy above the lowest structure with this stoichiometry: 0.1529 eV/atom. Its magnetization is 0.000 μB per atom.

(4)
This record from Alexandria describes MgZnSe at its PBEsol-relaxed geometry. The functional is SCAN.

Cell and atoms, written as extended XYZ:
```
3
Lattice="3.589 0.000 0.000 0.000 4.428 0.000 0.000 -2.214 3.835" Properties=species:S:1:pos:R:3 pbc="T T T"
Mg 1.794 0.000 2.556
Se 0.000 0.000 0.000
Zn 1.794 2.214 1.278
```

Results
The space-group type is P-6m2 (187). As for the energy above the lowest structure with this stoichiometry: 0.6507 eV/atom. Its magnetization is 0.000 μB per atom.

Please write out number 1 again, unchanged.
This record from Alexandria describes YMgSe2 at its PBEsol-relaxed geometry. The functional is SCAN.

Cell and atoms, written as extended XYZ:
```
4
Lattice="3.858 0.000 0.000 1.929 3.341 0.000 1.929 1.114 6.749" Properties=species:S:1:pos:R:3 pbc="T T T"
Y 3.858 2.227 3.375
Mg 0.000 0.000 0.000
Se 5.787 3.341 5.189
Se 1.929 1.114 1.560
```

Results
The space-group type is R-3m (166). The uncorrected energy is -0.730 hartree per atom. Its magnetization is 0.000 μB per atom.